Density functional theory data (PBE-GGA) for Tb2EuRh after structural relaxation.

The formation energy comes out at -1.52 eV/f.u. For the total moment, the calculation gives 1.9590 μB/atom. The offset from the most stable computed form is 0.004 eV/atom. Its density of states at the Fermi level is 10.0 states/eV/cell.

It has space group R-3m (No. 166, hexagonal axes), with a = 3.9824 Å, b = 3.9824 Å, c = 28.3506 Å, α = 90.00°, β = 90.00° and γ = 120.00°. The distinct sites, in fractional coordinates, are Tb at (0.0000, 0.0000, 0.2202), Eu at (0.0000, 0.0000, 0.0000) and Rh at (0.0000, 0.0000, 0.5000).

***

Density functional theory data (PBE-GGA) for TbEuRh2 after structural relaxation.

The formation energy comes out at -2.33 eV/f.u. For the total moment, the calculation gives 1.6955 μB/atom. The offset from the most stable computed form is 0.030 eV/atom. Its density of states at the Fermi level is 41.0 states/eV/cell.

It has space group Fm-3m (No. 225), with a = 6.9457 Å, b = 6.9457 Å, c = 6.9457 Å, α = 90.00°, β = 90.00° and γ = 90.00°. The distinct sites, in fractional coordinates, are Tb at (0.0000, 0.0000, 0.0000), Eu at (0.0000, 0.0000, 0.5000) and Rh at (0.2500, 0.2500, 0.2500).

***

Density functional theory data (PBE-GGA) for TbEuRh after structural relaxation.

The formation energy comes out at -1.30 eV/f.u. For the total moment, the calculation gives 2.3438 μB/atom. The offset from the most stable computed form is 0.023 eV/atom. Its density of states at the Fermi level is 46.4 states/eV/cell.

It has space group F-43m (No. 216), with a = 6.9127 Å, b = 6.9127 Å, c = 6.9127 Å, α = 90.00°, β = 90.00° and γ = 90.00°. The distinct sites, in fractional coordinates, are Tb at (0.0000, 0.0000, 0.0000), Eu at (0.0000, 0.0000, 0.5000) and Rh at (0.2500, 0.2500, 0.2500).

***

Density functional theory data (PBE-GGA) for EuTe2Rh after structural relaxation.

For the total moment, the calculation gives 1.8872 μB/atom. Its density of states at the Fermi level is 10.3 states/eV/cell. Its uncorrected formation energy is -3.00 eV per formula unit.

It has space group R-3m (No. 166, hexagonal axes), with a = 4.3251 Å, b = 4.3251 Å, c = 19.5910 Å, α = 90.00°, β = 90.00° and γ = 120.00°. The distinct sites, in fractional coordinates, are Eu at (0.0000, 0.0000, 0.0000), Te at (0.0000, 0.0000, 0.2306) and Rh at (0.0000, 0.0000, 0.5000).

***

Density functional theory data (PBE-GGA) for EuThRh4 after structural relaxation.

The formation energy comes out at -3.87 eV/f.u. For the total moment, the calculation gives 1.1508 μB/atom. Its density of states at the Fermi level is 42.6 states/eV/cell.

It has space group F-43m (No. 216), with a = 7.6500 Å, b = 7.6500 Å, c = 7.6500 Å, α = 90.00°, β = 90.00° and γ = 90.00°. The distinct sites, in fractional coordinates, are Eu at (0.0000, 0.0000, 0.0000), Th at (0.2500, 0.2500, 0.2500) and Rh at (0.1252, 0.1252, 0.6252).

***

Density functional theory data (PBE-GGA) for EuTiRh2 after structural relaxation.

The formation energy comes out at -2.36 eV/f.u. For the total moment, the calculation gives 1.7445 μB/atom. The offset from the most stable computed form is 0.000 eV/atom. Its density of states at the Fermi level is 5.8 states/eV/cell.

It has space group P4/mmm (No. 123), with a = 3.1441 Å, b = 3.1441 Å, c = 7.3210 Å, α = 90.00°, β = 90.00° and γ = 90.00°. The distinct sites, in fractional coordinates, are Eu at (0.0000, 0.0000, 0.0000), Ti at (0.0000, 0.0000, 0.5000) and Rh at (0.5000, 0.5000, 0.3011).

***

Density functional theory data (PBE-GGA) for EuTiRh2 after structural relaxation.

The formation energy comes out at -1.81 eV/f.u. For the total moment, the calculation gives 1.7306 μB/atom. The offset from the most stable computed form is 0.138 eV/atom. Its density of states at the Fermi level is 32.9 states/eV/cell.

It has space group R-3m (No. 166, hexagonal axes), with a = 4.1944 Å, b = 4.1944 Å, c = 16.0525 Å, α = 90.00°, β = 90.00° and γ = 120.00°. The distinct sites, in fractional coordinates, are Eu at (0.0000, 0.0000, 0.0000), Ti at (0.0000, 0.0000, 0.5000) and Rh at (0.0000, 0.0000, 0.2146).

***

Density functional theory data (PBE-GGA) for Eu2TlRh after structural relaxation.

The formation energy comes out at -1.11 eV/f.u. For the total moment, the calculation gives 3.4718 μB/atom. The offset from the most stable computed form is 0.100 eV/atom. Its density of states at the Fermi level is 67.1 states/eV/cell.

It has space group Fm-3m (No. 225), with a = 7.4797 Å, b = 7.4797 Å, c = 7.4797 Å, α = 90.00°, β = 90.00° and γ = 90.00°. The distinct sites, in fractional coordinates, are Eu at (0.2500, 0.2500, 0.2500), Tl at (0.0000, 0.0000, 0.0000) and Rh at (0.0000, 0.0000, 0.5000).